# BeGa3 (GGA-PBE, relaxed)
data_BeGa3
_cell_length_a 2.727
_cell_length_b 11.545
_cell_length_c 4.142
_cell_angle_alpha 90.00
_cell_angle_beta 90.00
_cell_angle_gamma 90.00
_space_group_name_H-M_alt 'I m m 2'
_space_group_IT_number 44
loop_
_space_group_symop_operation_xyz
'x,y,z'
'-x,-y,z'
'-x,y,z'
'x,-y,z'
'x+1/2,y+1/2,z+1/2'
'-x+1/2,-y+1/2,z+1/2'
'-x+1/2,y+1/2,z+1/2'
'x+1/2,-y+1/2,z+1/2'
loop_
_atom_site_label
_atom_site_type_symbol
_atom_site_fract_x
_atom_site_fract_y
_atom_site_fract_z
_atom_site_occupancy
Be1 Be 0.000 0.000 0.000 1
Ga1 Ga 0.000 0.312 0.498 1
Ga2 Ga 0.000 0.500 0.000 1
# formation enthalpy at 0 K: 0.62 eV per formula unit
# relative energy among the computed polymorphs: 0.0000 eV per atom
# volume: 65.2 Å³/f.u.
# Fermi-level density of states: 0.2491 states/eV/atom

---

# Fe3Hg2 (GGA-PBE, relaxed)
data_Fe3Hg2
_cell_length_a 3.036
_cell_length_b 3.036
_cell_length_c 17.128
_cell_angle_alpha 90.00
_cell_angle_beta 90.00
_cell_angle_gamma 90.00
_space_group_name_H-M_alt 'I 4/m m m'
_space_group_IT_number 139
_space_group_name_Hall '-I 4 2'
loop_
_atom_site_label
_atom_site_type_symbol
_atom_site_fract_x
_atom_site_fract_y
_atom_site_fract_z
_atom_site_occupancy
Fe1 Fe 0.000 0.000 0.000 1
Fe2 Fe 0.000 0.000 0.217 1
Hg1 Hg 0.000 0.000 0.392 1
# formation enthalpy at 0 K: 2.02 eV per formula unit
# relative energy among the computed polymorphs: 0.0267 eV per atom
# volume: 78.9 Å³/f.u.
# Fermi-level density of states: 0.8805 states/eV/atom

---

# Ti2PtAu (GGA-PBE, relaxed)
data_Ti2PtAu
_cell_length_a 2.872
_cell_length_b 2.872
_cell_length_c 7.915
_cell_angle_alpha 90.00
_cell_angle_beta 90.00
_cell_angle_gamma 90.00
_space_group_name_H-M_alt 'P 4/m m m'
_space_group_IT_number 123
_space_group_name_Hall '-P 4 2'
loop_
_atom_site_label
_atom_site_type_symbol
_atom_site_fract_x
_atom_site_fract_y
_atom_site_fract_z
_atom_site_occupancy
Ti1 Ti 0.000 0.000 0.240 1
Pt1 Pt 0.500 0.500 0.000 1
Au1 Au 0.500 0.500 0.500 1
# formation enthalpy at 0 K: -2.46 eV per formula unit
# volume: 65.3 Å³/f.u.
# Fermi-level density of states: 1.3384 states/eV/atom